[1]
# CoNiSb PBE relaxed
# Calculated total energy, eV/atom: -5.5355
# Symmetry: P-62m, No. 189
data_CoNiSb
_symmetry_space_group_name_H-M 'P 1'
_symmetry_Int_Tables_number 1
_cell_length_a 6.424
_cell_length_b 6.424
_cell_length_c 3.634
_cell_angle_alpha 90.00
_cell_angle_beta 90.00
_cell_angle_gamma 120.00
loop_
_symmetry_equiv_pos_as_xyz
'x,y,z'
loop_
_atom_site_label
_atom_site_fract_x
_atom_site_fract_y
_atom_site_fract_z
_atom_site_occupancy
Co1 0.000 0.602 0.000 1
Co2 0.398 0.398 0.000 1
Co3 0.602 0.000 0.000 1
Ni1 0.000 0.256 0.500 1
Ni2 0.256 0.000 0.500 1
Ni3 0.744 0.744 0.500 1
Sb1 0.000 0.000 0.000 1
Sb2 0.333 0.667 0.500 1
Sb3 0.667 0.333 0.500 1

***

[2]
# Sc2Al4IrPd PBE relaxed
# Calculated total energy, eV/atom: -6.0177
# Symmetry: Amm2, No. 38
data_Sc2Al4IrPd
_symmetry_space_group_name_H-M 'P 1'
_symmetry_Int_Tables_number 1
_cell_length_a 6.831
_cell_length_b 5.286
_cell_length_c 5.286
_cell_angle_alpha 46.62
_cell_angle_beta 90.00
_cell_angle_gamma 90.00
loop_
_symmetry_equiv_pos_as_xyz
'x,y,z'
loop_
_atom_site_label
_atom_site_fract_x
_atom_site_fract_y
_atom_site_fract_z
_atom_site_occupancy
Sc1 0.000 0.000 0.000 1
Sc2 0.500 0.146 0.146 1
Al1 0.200 0.713 0.713 1
Al2 0.303 0.433 0.433 1
Al3 0.697 0.433 0.433 1
Al4 0.800 0.713 0.713 1
Ir1 0.500 0.865 0.865 1
Pd1 0.000 0.282 0.282 1

***

[3]
# CsFe2AsP PBE relaxed
# Calculated total energy, eV/atom: -5.8906
# Symmetry: I4mm, No. 107
data_CsFe2AsP
_symmetry_space_group_name_H-M 'P 1'
_symmetry_Int_Tables_number 1
_cell_length_a 7.896
_cell_length_b 7.896
_cell_length_c 7.896
_cell_angle_alpha 152.30
_cell_angle_beta 152.30
_cell_angle_gamma 39.58
loop_
_symmetry_equiv_pos_as_xyz
'x,y,z'
loop_
_atom_site_label
_atom_site_fract_x
_atom_site_fract_y
_atom_site_fract_z
_atom_site_occupancy
Cs1 0.000 0.000 0.000 1
Fe1 0.259 0.759 0.500 1
Fe2 0.759 0.259 0.500 1
As1 0.667 0.667 0.000 1
P1 0.334 0.334 0.000 1

***

[4]
# La2NdNb2N6 PBE relaxed
# Calculated total energy, eV/atom: -8.9847
# Symmetry: I4/mmm, No. 139
data_La2NdNb2N6
_symmetry_space_group_name_H-M 'P 1'
_symmetry_Int_Tables_number 1
_cell_length_a 10.354
_cell_length_b 10.354
_cell_length_c 10.354
_cell_angle_alpha 157.30
_cell_angle_beta 157.30
_cell_angle_gamma 32.32
loop_
_symmetry_equiv_pos_as_xyz
'x,y,z'
loop_
_atom_site_label
_atom_site_fract_x
_atom_site_fract_y
_atom_site_fract_z
_atom_site_occupancy
La1 0.179 0.179 0.000 1
La2 0.821 0.821 0.000 1
Nd1 0.000 0.000 0.000 1
Nb1 0.401 0.401 0.000 1
Nb2 0.599 0.599 0.000 1
N1 0.082 0.582 0.500 1
N2 0.302 0.302 0.000 1
N3 0.418 0.918 0.500 1
N4 0.582 0.082 0.500 1
N5 0.698 0.698 0.000 1
N6 0.918 0.418 0.500 1

***

[5]
# DyY2Tm PBE relaxed
# Calculated total energy, eV/atom: -5.4980
# Energy of formation from the pure elements, eV per atom: 0.0037
# Symmetry: Cmcm, No. 63
data_DyY2Tm
_symmetry_space_group_name_H-M 'P 1'
_symmetry_Int_Tables_number 1
_cell_length_a 7.233
_cell_length_b 7.233
_cell_length_c 5.608
_cell_angle_alpha 90.00
_cell_angle_beta 90.00
_cell_angle_gamma 120.03
loop_
_symmetry_equiv_pos_as_xyz
'x,y,z'
loop_
_atom_site_label
_atom_site_fract_x
_atom_site_fract_y
_atom_site_fract_z
_atom_site_occupancy
Dy1 0.167 0.833 0.750 1
Dy2 0.833 0.167 0.250 1
Y1 0.167 0.334 0.750 1
Y2 0.334 0.167 0.250 1
Y3 0.666 0.833 0.750 1
Y4 0.833 0.666 0.250 1
Tm1 0.333 0.667 0.250 1
Tm2 0.667 0.333 0.750 1

***

[6]
# HoSiNO PBE relaxed
# Calculated total energy, eV/atom: -7.4925
# Symmetry: Pmc2_1, No. 26
# Offset from the most stable computed form, meV/atom: 0
data_HoSiNO
_symmetry_space_group_name_H-M 'P 1'
_symmetry_Int_Tables_number 1
_cell_length_a 3.732
_cell_length_b 4.798
_cell_length_c 5.248
_cell_angle_alpha 90.00
_cell_angle_beta 90.00
_cell_angle_gamma 90.00
loop_
_symmetry_equiv_pos_as_xyz
'x,y,z'
loop_
_atom_site_label
_atom_site_fract_x
_atom_site_fract_y
_atom_site_fract_z
_atom_site_occupancy
Ho1 0.000 0.236 0.000 1
Ho2 0.000 0.764 0.500 1
Si1 0.500 0.254 0.497 1
Si2 0.500 0.746 0.997 1
N1 0.500 0.004 0.749 1
N2 0.500 0.996 0.249 1
O1 0.000 0.284 0.491 1
O2 0.000 0.716 0.991 1

***

[7]
# RbLuPO PBE relaxed
# Calculated total energy, eV/atom: -4.8324
# Symmetry: P4/nmm, No. 129
# Offset from the most stable computed form, meV/atom: 656
data_RbLuPO
_symmetry_space_group_name_H-M 'P 1'
_symmetry_Int_Tables_number 1
_cell_length_a 5.688
_cell_length_b 5.688
_cell_length_c 5.114
_cell_angle_alpha 90.00
_cell_angle_beta 90.00
_cell_angle_gamma 90.00
loop_
_symmetry_equiv_pos_as_xyz
'x,y,z'
loop_
_atom_site_label
_atom_site_fract_x
_atom_site_fract_y
_atom_site_fract_z
_atom_site_occupancy
Rb1 0.250 0.250 0.003 1
Rb2 0.750 0.750 0.997 1
Lu1 0.250 0.750 0.500 1
Lu2 0.750 0.250 0.500 1
P1 0.250 0.250 0.504 1
P2 0.750 0.750 0.496 1
O1 0.250 0.750 0.000 1
O2 0.750 0.250 0.000 1

***

[8]
# CsMgFe3As3 PBE relaxed
# Calculated total energy, eV/atom: -5.3135
# Symmetry: Pmm2, No. 25
data_CsMgFe3As3
_symmetry_space_group_name_H-M 'P 1'
_symmetry_Int_Tables_number 1
_cell_length_a 3.979
_cell_length_b 4.200
_cell_length_c 10.241
_cell_angle_alpha 90.00
_cell_angle_beta 90.00
_cell_angle_gamma 90.00
loop_
_symmetry_equiv_pos_as_xyz
'x,y,z'
loop_
_atom_site_label
_atom_site_fract_x
_atom_site_fract_y
_atom_site_fract_z
_atom_site_occupancy
Cs1 0.000 0.000 0.000 1
Mg1 0.500 0.000 0.639 1
Fe1 0.000 0.500 0.363 1
Fe2 0.000 0.500 0.618 1
Fe3 0.500 0.000 0.347 1
As1 0.000 0.000 0.470 1
As2 0.500 0.500 0.234 1
As3 0.500 0.500 0.773 1

***

[9]
# Sr4MgHg PBE relaxed
# Calculated total energy, eV/atom: -1.6336
# Symmetry: P4/mmm, No. 123
data_Sr4MgHg
_symmetry_space_group_name_H-M 'P 1'
_symmetry_Int_Tables_number 1
_cell_length_a 4.087
_cell_length_b 4.087
_cell_length_c 14.346
_cell_angle_alpha 90.00
_cell_angle_beta 90.00
_cell_angle_gamma 90.00
loop_
_symmetry_equiv_pos_as_xyz
'x,y,z'
loop_
_atom_site_label
_atom_site_fract_x
_atom_site_fract_y
_atom_site_fract_z
_atom_site_occupancy
Sr1 0.000 0.000 0.132 1
Sr2 0.000 0.000 0.868 1
Sr3 0.500 0.500 0.353 1
Sr4 0.500 0.500 0.647 1
Mg1 0.000 0.000 0.500 1
Hg1 0.500 0.500 0.000 1

***

[10]
# ThMgNb PBE relaxed
# Calculated total energy, eV/atom: -5.5066
# Symmetry: F-43m, No. 216
# Offset from the most stable computed form, meV/atom: 0
data_ThMgNb
_symmetry_space_group_name_H-M 'P 1'
_symmetry_Int_Tables_number 1
_cell_length_a 4.842
_cell_length_b 4.842
_cell_length_c 4.842
_cell_angle_alpha 60.00
_cell_angle_beta 60.00
_cell_angle_gamma 60.00
loop_
_symmetry_equiv_pos_as_xyz
'x,y,z'
loop_
_atom_site_label
_atom_site_fract_x
_atom_site_fract_y
_atom_site_fract_z
_atom_site_occupancy
Th1 0.000 0.000 0.000 1
Mg1 0.500 0.500 0.500 1
Nb1 0.750 0.750 0.750 1